Entry 1:
The following is a PBE calculation of crystalline Rb3Er2US6 at its relaxed geometry, from the Alexandria database.

Values from the calculation:
The size of the total moment is 6.02 μB per cell. As for the raw formation energy: -1.658 eV/atom.

Lattice parameters (Å, degrees): 7.052 12.220 8.040 90.00 107.01 90.00
Space group C2/m (No. 12)
One atom of each set of equivalent atoms:
Rb1 0.000 0.000 0.000
Rb2 0.000 0.333 0.000
Er1 0.000 0.167 0.500
U1 0.000 0.500 0.500
S1 0.227 0.000 0.691
S2 0.232 0.331 0.691

=====

Entry 2:
The following is a PBE calculation of crystalline Rb4ErU3S8 at its relaxed geometry, from the Alexandria database.

Values from the calculation:
The size of the total moment is 27.03 μB per cell. As for the raw formation energy: -1.464 eV/atom.

Lattice parameters (Å, degrees): 8.1353 8.1353 23.2026 90.00 90.00 120.00
Space group R-3m (No. 166, hexagonal axes)
One atom of each set of equivalent atoms:
Rb1 0.0000 0.0000 0.0000
Rb2 0.0000 0.5000 0.0000
Er1 0.0000 0.0000 0.5000
U1 0.0000 0.5000 0.5000
S1 0.0000 0.0000 0.2312
S2 0.0031 0.5016 0.2310

=====

Entry 3:
The following is a PBE calculation of crystalline Rb2ErUS6 at its relaxed geometry, from the Alexandria database.

Values from the calculation:
The size of the total moment is 0.00 μB per cell. As for the raw formation energy: -1.350 eV/atom.

Lattice parameters (Å, degrees): 7.389 10.449 7.390 90.00 90.00 90.00
Space group Pmmn (No. 59, origin choice 2)
One atom of each set of equivalent atoms:
Rb1 0.250 0.000 0.250
Er1 0.250 0.250 0.750
U1 0.250 0.750 0.750
S1 0.007 0.750 0.506
S2 0.007 0.750 0.993
S3 0.250 0.507 0.750

=====

Entry 4:
The following is a PBE calculation of crystalline RbErUS4 at its relaxed geometry, from the Alexandria database.

Values from the calculation:
The size of the total moment is 8.00 μB per cell. As for the raw formation energy: -1.572 eV/atom.

Lattice parameters (Å, degrees): 8.437 8.526 11.783 90.00 90.00 90.00
Space group Imma (No. 74)
One atom of each set of equivalent atoms:
Rb1 0.000 0.250 0.129
Er1 0.250 0.250 0.750
U1 0.000 0.000 0.500
S1 0.000 0.045 0.728
S2 0.203 0.250 0.518

=====

Repeat the second record exactly.
The following is a PBE calculation of crystalline Rb4ErU3S8 at its relaxed geometry, from the Alexandria database.

Values from the calculation:
The size of the total moment is 27.03 μB per cell. As for the raw formation energy: -1.464 eV/atom.

Lattice parameters (Å, degrees): 8.1353 8.1353 23.2026 90.00 90.00 120.00
Space group R-3m (No. 166, hexagonal axes)
One atom of each set of equivalent atoms:
Rb1 0.0000 0.0000 0.0000
Rb2 0.0000 0.5000 0.0000
Er1 0.0000 0.0000 0.5000
U1 0.0000 0.5000 0.5000
S1 0.0000 0.0000 0.2312
S2 0.0031 0.5016 0.2310